No. 1
## Li2TaNbIn2Ir2 (PBE)

Data for a relaxed structure of Li2TaNbIn2Ir2.

a b c (Å): 4.4948 4.4948 6.3570
angles (deg): 90.00 90.00 90.00
Closest atoms and distances in Å follow each position.
Sites, in units of the cell vectors:
Li: 0.0000 0.5000 0.2496  4 In 2.75, 2 Nb 2.75, 2 Ta 2.75
Li: 0.5000 0.0000 0.7504  4 In 2.75, 2 Nb 2.75, 2 Ta 2.75
Ta: 0.0000 0.0000 0.5000  4 Ir 2.75, 4 Li 2.75
Nb: 0.5000 0.5000 0.0000  4 Li 2.75, 4 Ir 2.76
In: 0.0000 0.0000 0.0000  4 Li 2.75, 4 Ir 2.76
In: 0.5000 0.5000 0.5000  4 Ir 2.75, 4 Li 2.75
Ir: 0.0000 0.5000 0.7482  2 Ta 2.75, 4 In 2.75-2.76, 2 Nb 2.76
Ir: 0.5000 0.0000 0.2518  2 Ta 2.75, 4 In 2.75-2.76, 2 Nb 2.76

No. 2
## Li2ZrNbIn2Ir2 (PBE)

Data for a relaxed structure of Li2ZrNbIn2Ir2.

a b c (Å): 4.5561 4.5561 6.4327
angles (deg): 90.00 90.00 90.00
Closest atoms and distances in Å follow each position.
Sites, in units of the cell vectors:
Li: 0.0000 0.5000 0.2436  4 In 2.77-2.81, 2 Nb 2.77, 2 Zr 2.81
Li: 0.5000 0.0000 0.7564  4 In 2.77-2.81, 2 Nb 2.77, 2 Zr 2.81
Zr: 0.5000 0.5000 0.5000  4 Li 2.81, 4 Ir 2.83
Nb: 0.0000 0.0000 0.0000  4 Ir 2.75, 4 Li 2.77
In: 0.0000 0.0000 0.5000  4 Li 2.81, 4 Ir 2.83
In: 0.5000 0.5000 0.0000  4 Ir 2.75, 4 Li 2.77
Ir: 0.0000 0.5000 0.7618  4 In 2.75-2.83, 2 Nb 2.75, 2 Zr 2.83
Ir: 0.5000 0.0000 0.2382  4 In 2.75-2.83, 2 Nb 2.75, 2 Zr 2.83

No. 3
## LiIn3IrO4 (PBE)

Data for a relaxed structure of LiIn3IrO4.

a b c (Å): 7.1945 7.1945 5.3230
angles (deg): 109.56 109.56 79.33
Closest atoms and distances in Å follow each position.
Sites, in units of the cell vectors:
Li: 0.2498 0.7502 0.7500  4 O 1.96-2.04
Li: 0.7502 0.2498 0.2500  4 O 1.96-2.04
In: 0.0924 0.9076 0.2500  4 O 2.23-2.27
In: 0.2268 0.4258 0.9874  2 O 2.19-2.22
In: 0.4258 0.2268 0.4874  2 O 2.19-2.22
In: 0.5742 0.7732 0.5126  2 O 2.19-2.22
In: 0.7732 0.5742 0.0126  2 O 2.19-2.22
In: 0.9076 0.0924 0.7500  4 O 2.23-2.27
Ir: 0.0000 0.5000 0.5000  4 O 2.11-2.13
Ir: 0.5000 0.0000 0.0000  4 O 2.11-2.13
O: 0.0302 0.2159 0.2200  1 Li 2.04, 1 Ir 2.11, 2 In 2.23-2.27
O: 0.2159 0.0302 0.7200  1 Li 2.04, 1 Ir 2.11, 2 In 2.23-2.27
O: 0.2732 0.5156 0.4380  1 Li 1.96, 1 Ir 2.13, 1 In 2.19
O: 0.4844 0.7268 0.0620  1 Li 1.96, 1 Ir 2.13, 1 In 2.19
O: 0.5156 0.2732 0.9380  1 Li 1.96, 1 Ir 2.13, 1 In 2.19
O: 0.7268 0.4844 0.5620  1 Li 1.96, 1 Ir 2.13, 1 In 2.19
O: 0.7841 0.9698 0.2800  1 Li 2.04, 1 Ir 2.11, 2 In 2.23-2.27
O: 0.9698 0.7841 0.7800  1 Li 2.04, 1 Ir 2.11, 2 In 2.23-2.27

In eV per atom, the DFT total energy values for the records above are, in order, -6.5307, -6.1919, -5.1790.